Record 1
YScAl2 | GGA-PBEsol | optimized geometry

The structure in CIF format:
```
data_YScAl2
_symmetry_space_group_name_H-M 'P m m 2'
_symmetry_Int_Tables_number 25
_symmetry_space_group_name_Hall 'P 2 -2'
_cell_length_a 3.284
_cell_length_b 4.329
_cell_length_c 6.085
_cell_angle_alpha 90.00
_cell_angle_beta 90.00
_cell_angle_gamma 90.00
loop_
_atom_site_label
_atom_site_type_symbol
_atom_site_fract_x
_atom_site_fract_y
_atom_site_fract_z
Y1 Y 0.000 0.000 0.000
Sc1 Sc 0.500 0.500 0.717
Al1 Al 0.000 0.000 0.502
Al2 Al 0.500 0.500 0.241
```

The value obtained for the formation energy is -120 meV/atom. For the volume, the calculation gives 86.5 Å³/cell. Its magnetic moment is 0.002 μB/f.u. The total DFT energy (no corrections) comes out at -22.09 eV/cell. As for the density of states at the Fermi level: 1.032 states/eV per atom. The crystal system is orthorhombic. The energy relative to the lowest polymorph listed for this composition is 0.324 eV/atom.

Record 2
LiLa2Sc | GGA-PBEsol | optimized geometry

The structure in CIF format:
```
data_LiLa2Sc
_symmetry_space_group_name_H-M 'P 4/m m m'
_symmetry_Int_Tables_number 123
_symmetry_space_group_name_Hall '-P 4 2'
_cell_length_a 3.794
_cell_length_b 3.794
_cell_length_c 8.089
_cell_angle_alpha 90.00
_cell_angle_beta 90.00
_cell_angle_gamma 90.00
loop_
_atom_site_label
_atom_site_type_symbol
_atom_site_fract_x
_atom_site_fract_y
_atom_site_fract_z
Li1 Li 0.000 0.000 0.000
La1 La 0.500 0.500 0.247
Sc1 Sc 0.000 0.000 0.500
```

The value obtained for the formation energy is 112 meV/atom. For the volume, the calculation gives 116.4 Å³/cell. Its magnetic moment is 0.001 μB/f.u. The total DFT energy (no corrections) comes out at -18.82 eV/cell. As for the density of states at the Fermi level: 1.344 states/eV per atom. The crystal system is tetragonal. The energy relative to the lowest polymorph listed for this composition is 0.017 eV/atom.

Record 3
PrInAu2 | GGA-PBEsol | optimized geometry

The structure in CIF format:
```
data_PrInAu2
_symmetry_space_group_name_H-M 'F m -3 m'
_symmetry_Int_Tables_number 225
_symmetry_space_group_name_Hall '-F 4 2 3'
_cell_length_a 7.035
_cell_length_b 7.035
_cell_length_c 7.035
_cell_angle_alpha 90.00
_cell_angle_beta 90.00
_cell_angle_gamma 90.00
loop_
_atom_site_label
_atom_site_type_symbol
_atom_site_fract_x
_atom_site_fract_y
_atom_site_fract_z
Pr1 Pr 0.000 0.000 0.000
In1 In 0.000 0.000 0.500
Au1 Au 0.250 0.250 0.250
```

The value obtained for the formation energy is -683 meV/atom. For the volume, the calculation gives 348.2 Å³/cell. Its magnetic moment is 0.000 μB/f.u. The total DFT energy (no corrections) comes out at -74.99 eV/cell. As for the density of states at the Fermi level: 0.391 states/eV per atom. The crystal system is cubic.

Record 4
BaRuPt | GGA-PBEsol | optimized geometry

The structure in CIF format:
```
data_BaRuPt
_symmetry_space_group_name_H-M 'F -4 3 m'
_symmetry_Int_Tables_number 216
_symmetry_space_group_name_Hall 'F -4 2 3'
_cell_length_a 6.724
_cell_length_b 6.724
_cell_length_c 6.724
_cell_angle_alpha 90.00
_cell_angle_beta 90.00
_cell_angle_gamma 90.00
loop_
_atom_site_label
_atom_site_type_symbol
_atom_site_fract_x
_atom_site_fract_y
_atom_site_fract_z
Ba1 Ba 0.000 0.000 0.000
Ru1 Ru 0.000 0.000 0.500
Pt1 Pt 0.250 0.250 0.750
```

The value obtained for the formation energy is 881 meV/atom. For the volume, the calculation gives 304.0 Å³/cell. Its magnetic moment is 1.977 μB/f.u. The total DFT energy (no corrections) comes out at -66.57 eV/cell. As for the density of states at the Fermi level: 1.622 states/eV per atom. The crystal system is cubic.

Record 5
BaCd2Au | GGA-PBEsol | optimized geometry

The structure in CIF format:
```
data_BaCd2Au
_symmetry_space_group_name_H-M 'P 1 m 1'
_symmetry_Int_Tables_number 6
_symmetry_space_group_name_Hall 'P -2y'
_cell_length_a 3.852
_cell_length_b 4.463
_cell_length_c 6.746
_cell_angle_alpha 90.00
_cell_angle_beta 106.39
_cell_angle_gamma 90.00
loop_
_atom_site_label
_atom_site_type_symbol
_atom_site_fract_x
_atom_site_fract_y
_atom_site_fract_z
Ba1 Ba 0.000 0.000 0.000
Cd1 Cd 0.260 0.000 0.516
Cd2 Cd 0.702 0.500 0.400
Au1 Au 0.385 0.500 0.768
```

The value obtained for the formation energy is -285 meV/atom. For the volume, the calculation gives 111.2 Å³/cell. Its magnetic moment is 0.000 μB/f.u. The total DFT energy (no corrections) comes out at -9.61 eV/cell. As for the density of states at the Fermi level: 0.599 states/eV per atom. The crystal system is monoclinic.

Record 6
YZr5 | GGA-PBEsol | optimized geometry

The structure in CIF format:
```
data_YZr5
_symmetry_space_group_name_H-M 'C 1 m 1'
_symmetry_Int_Tables_number 8
_symmetry_space_group_name_Hall 'C -2y'
_cell_length_a 11.756
_cell_length_b 3.228
_cell_length_c 7.621
_cell_angle_alpha 90.00
_cell_angle_beta 103.79
_cell_angle_gamma 90.00
loop_
_atom_site_label
_atom_site_type_symbol
_atom_site_fract_x
_atom_site_fract_y
_atom_site_fract_z
Y1 Y 0.000 0.000 0.000
Zr1 Zr 0.053 0.000 0.606
Zr2 Zr 0.168 0.500 0.338
Zr3 Zr 0.225 0.500 0.944
Zr4 Zr 0.327 0.000 0.660
Zr5 Zr 0.387 0.000 0.285
```

The value obtained for the formation energy is 48 meV/atom. For the volume, the calculation gives 280.8 Å³/cell. Its magnetic moment is 0.000 μB/f.u. The total DFT energy (no corrections) comes out at -103.97 eV/cell. As for the density of states at the Fermi level: 0.706 states/eV per atom. The crystal system is monoclinic.

Record 7
CdPCl2 | GGA-PBEsol | optimized geometry

The structure in CIF format:
```
data_CdPCl2
_symmetry_space_group_name_H-M 'P 4/m m m'
_symmetry_Int_Tables_number 123
_symmetry_space_group_name_Hall '-P 4 2'
_cell_length_a 4.424
_cell_length_b 4.424
_cell_length_c 3.939
_cell_angle_alpha 90.00
_cell_angle_beta 90.00
_cell_angle_gamma 90.00
loop_
_atom_site_label
_atom_site_type_symbol
_atom_site_fract_x
_atom_site_fract_y
_atom_site_fract_z
Cd1 Cd 0.000 0.000 0.000
P1 P 0.500 0.500 0.000
Cl1 Cl 0.000 0.500 0.500
```

For the volume, the calculation gives 77.1 Å³/cell. Its magnetic moment is 0.000 μB/f.u. The total DFT energy (no corrections) comes out at -9.81 eV/cell. As for the density of states at the Fermi level: 0.598 states/eV per atom. The crystal system is tetragonal. The energy relative to the lowest polymorph listed for this composition is 0.344 eV/atom. The formation energy without anion corrections comes out at 0.299 eV/atom.

Record 8
TaGeSb2I | GGA-PBEsol | optimized geometry

The structure in CIF format:
```
data_TaGeSb2I
_symmetry_space_group_name_H-M 'P 4/m m m'
_symmetry_Int_Tables_number 123
_symmetry_space_group_name_Hall '-P 4 2'
_cell_length_a 5.359
_cell_length_b 5.359
_cell_length_c 5.309
_cell_angle_alpha 90.00
_cell_angle_beta 90.00
_cell_angle_gamma 90.00
loop_
_atom_site_label
_atom_site_type_symbol
_atom_site_fract_x
_atom_site_fract_y
_atom_site_fract_z
Ta1 Ta 0.000 0.000 0.000
Ge1 Ge 0.500 0.500 0.500
Sb1 Sb 0.000 0.500 0.000
I1 I 0.000 0.000 0.500
```

For the volume, the calculation gives 152.4 Å³/cell. Its magnetic moment is 0.571 μB/f.u. The total DFT energy (no corrections) comes out at -24.68 eV/cell. As for the density of states at the Fermi level: 1.050 states/eV per atom. The crystal system is tetragonal. The formation energy without anion corrections comes out at 0.739 eV/atom.